This record from the Alexandria database describes an optimized crystal structure of Cs8Bi2O. The functional is PBE-GGA.

## Properties
Its calculated volume is 50.1 A^3/atom. The calculation puts the uncorrected formation energy at -462 meV per atom. The calculated total energy comes out at -2.24 eV per atom. As for the spin magnetization: 0.0 μB per formula unit. Its space-group type is Cm (8). As for the density: 4.51 g cm⁻³. Its density of states at the Fermi level is 7.51 states/eV/f.u.

Structure (CIF):
```
data_Cs8Bi2O
_chemical_formula_sum 'Cs8 Bi2 O1'
_symmetry_space_group_name_H-M 'P 1'
_symmetry_Int_Tables_number 1
_cell_length_a 10.9828
_cell_length_b 10.9828
_cell_length_c 6.9169
_cell_angle_alpha 108.33
_cell_angle_beta 108.33
_cell_angle_gamma 120.90
loop_
_symmetry_equiv_pos_as_xyz
'x,y,z'
loop_
_atom_site_label
_atom_site_type_symbol
_atom_site_fract_x
_atom_site_fract_y
_atom_site_fract_z
Cs1 Cs 0.0000 0.0000 0.0000
Cs2 Cs 0.0211 0.4514 0.2550
Cs3 Cs 0.1226 0.8910 0.5464
Cs4 Cs 0.3481 0.5803 0.0025
Cs5 Cs 0.4514 0.0211 0.2550
Cs6 Cs 0.4740 0.4740 0.4719
Cs7 Cs 0.5803 0.3481 0.0025
Cs8 Cs 0.8910 0.1226 0.5464
Bi1 Bi 0.5632 0.9087 0.7567
Bi2 Bi 0.9087 0.5632 0.7567
O1 O 0.2356 0.2356 0.9043
```